# 1
A plane-wave DFT calculation with PBE was carried out for a geometry-optimized TcAg2Sb structure.

a b c (Å): 2.9974 2.9974 29.2151
angles (deg): 90.00 90.00 120.00
Space group R-3m (No. 166, hexagonal axes)
Symmetry-distinct sites (fractional):
Tc  0.0000  0.0000  0.0000
Ag  0.0000  0.0000  0.2558
Sb  0.0000  0.0000  0.5000

Values from the calculation:
Total magnetization = 0.29 μB per formula unit
V = 227.3 Å³/cell
E_form (uncorrected) = 0.61 eV/atom

***

# 2
A plane-wave DFT calculation with PBE was carried out for a geometry-optimized YErCuGe structure.

a b c (Å): 7.0045 7.0045 7.0045
angles (deg): 90.00 90.00 90.00
Space group F-43m (No. 216)
Symmetry-distinct sites (fractional):
Y  0.0000  0.0000  0.0000
Er  0.0000  0.0000  0.5000
Cu  0.2500  0.2500  0.2500
Ge  0.2500  0.2500  0.7500

Values from the calculation:
Total magnetization = 0.00 μB per formula unit
ΔE_f = -0.50 eV per atom
V = 343.7 Å³/cell

***

# 3
A plane-wave DFT calculation with PBE was carried out for a geometry-optimized KMg3As structure.

a b c (Å): 5.8269 5.8269 5.8269
angles (deg): 90.00 90.00 90.00
Space group Pm-3m (No. 221)
Symmetry-distinct sites (fractional):
K  0.0000  0.0000  0.0000
Mg  0.0000  0.0000  0.5000
As  0.5000  0.5000  0.5000

Values from the calculation:
Total magnetization = 0.00 μB per formula unit
ΔE_f = 1.26 eV per atom
V = 197.8 Å³/cell

***

# 4
A plane-wave DFT calculation with PBE was carried out for a geometry-optimized SmAl2Cl8 structure.

a b c (Å): 13.5944 9.0449 6.4774
angles (deg): 90.00 98.86 90.00
Space group C2/m (No. 12)
Symmetry-distinct sites (fractional):
Sm  0.0000  0.0000  0.0000
Al  0.1892  0.0000  0.6505
Cl  0.1056  0.1847  0.7584
Cl  0.1577  0.5000  0.2311
Cl  0.1716  0.0000  0.3036

Values from the calculation:
Total magnetization = 1.04 μB per formula unit
V = 787.0 Å³/cell
E_form (uncorrected) = -1.60 eV/atom

***

# 5
A plane-wave DFT calculation with PBE was carried out for a geometry-optimized Li2CuRh structure.

a b c (Å): 2.5436 4.0386 5.1982
angles (deg): 90.00 90.00 90.00
Space group Pmmm (No. 47)
Symmetry-distinct sites (fractional):
Li  0.0000  0.0000  0.2414
Cu  0.5000  0.5000  0.5000
Rh  0.5000  0.5000  0.0000

Values from the calculation:
Total magnetization = 0.00 μB per formula unit
ΔE_f = -0.06 eV per atom
V = 53.4 Å³/cell

***

# 6
A plane-wave DFT calculation with PBE was carried out for a geometry-optimized NaDy3Pb12 structure.

a b c (Å): 4.8536 4.8536 19.8017
angles (deg): 90.00 90.00 90.00
Space group P4/mmm (No. 123)
Symmetry-distinct sites (fractional):
Na  0.0000  0.0000  0.0000
Dy  0.0000  0.0000  0.2554
Dy  0.0000  0.0000  0.5000
Pb  0.0000  0.5000  0.1256
Pb  0.0000  0.5000  0.3760
Pb  0.5000  0.5000  0.0000
Pb  0.5000  0.5000  0.2499
Pb  0.5000  0.5000  0.5000

Values from the calculation:
Total magnetization = 0.00 μB per formula unit
ΔE_f = -0.24 eV per atom
V = 466.5 Å³/cell

***

# 7
A plane-wave DFT calculation with PBE was carried out for a geometry-optimized Hf3HgC structure.

a b c (Å): 6.5059 10.2813 6.3670
angles (deg): 90.00 90.00 90.00
Space group Cmcm (No. 63)
Symmetry-distinct sites (fractional):
Hf  0.0000  0.0000  0.0000
Hf  0.2453  0.2409  0.2500
Hg  0.0000  0.4919  0.2500
C  0.0000  0.1407  0.7500

Values from the calculation:
Total magnetization = 0.00 μB per formula unit
ΔE_f = 0.23 eV per atom
V = 425.9 Å³/cell

***

# 8
A plane-wave DFT calculation with PBE was carried out for a geometry-optimized Rb2SrCu structure.

a b c (Å): 12.1812 12.1812 6.3125
angles (deg): 90.00 90.00 90.00
Space group I-42d (No. 122)
Symmetry-distinct sites (fractional):
Rb  0.1286  0.2500  0.1250
Sr  0.0000  0.0000  0.5000
Cu  0.0000  0.0000  0.0000

Values from the calculation:
Total magnetization = 0.00 μB per formula unit
ΔE_f = 0.33 eV per atom
V = 936.7 Å³/cell

***

# 9
A plane-wave DFT calculation with PBE was carried out for a geometry-optimized Ga3AgPb structure.

a b c (Å): 5.0404 5.0404 5.0404
angles (deg): 90.00 90.00 90.00
Space group Pm-3m (No. 221)
Symmetry-distinct sites (fractional):
Ga  0.0000  0.0000  0.5000
Ag  0.0000  0.0000  0.0000
Pb  0.5000  0.5000  0.5000

Values from the calculation:
Total magnetization = 0.00 μB per formula unit
ΔE_f = 0.29 eV per atom
V = 128.1 Å³/cell

***

# 10
A plane-wave DFT calculation with PBE was carried out for a geometry-optimized NaGa12Cu6 structure.

a b c (Å): 11.4043 11.4043 8.5545
angles (deg): 90.00 90.00 120.00
Space group R-3m (No. 166, hexagonal axes)
Symmetry-distinct sites (fractional):
Na  0.0000  0.0000  0.0000
Ga  0.0000  0.3841  0.5000
Ga  0.0832  0.1664  0.3085
Cu  0.0529  0.5264  0.2413

Values from the calculation:
Total magnetization = 0.00 μB per formula unit
ΔE_f = -0.05 eV per atom
V = 963.5 Å³/cell

***

# 11
A plane-wave DFT calculation with PBE was carried out for a geometry-optimized Th8Tc2Pb structure.

a b c (Å): 8.6911 13.7340 5.6799
angles (deg): 90.00 103.32 90.00
Space group C2/m (No. 12)
Symmetry-distinct sites (fractional):
Th  0.0000  0.2474  0.0000
Th  0.0963  0.0000  0.7995
Th  0.2075  0.3776  0.5747
Tc  0.0000  0.2091  0.5000
Pb  0.0000  0.5000  0.0000

Values from the calculation:
Total magnetization = 0.00 μB per formula unit
ΔE_f = -0.05 eV per atom
V = 659.7 Å³/cell

***

# 12
A plane-wave DFT calculation with PBE was carried out for a geometry-optimized Pm4Er5Mg2 structure.

a b c (Å): 17.6040 3.4653 11.4809
angles (deg): 90.00 93.20 90.00
Space group C2/m (No. 12)
Symmetry-distinct sites (fractional):
Pm  0.0232  0.0000  0.2759
Pm  0.1434  0.5000  0.8117
Er  0.0000  0.5000  0.0000
Er  0.1753  0.0000  0.0778
Er  0.2130  0.0000  0.3819
Mg  0.0913  0.5000  0.5307

Values from the calculation:
Total magnetization = 0.00 μB per formula unit
ΔE_f = 0.14 eV per atom
V = 699.3 Å³/cell